AcPu2MoO8 after structural relaxation, computed with PBE+U.

final energy = -111.54 eV per cell
D(E_F) = 10.6 states/eV/cell

a = 5.0906 Å, b = 7.0718 Å, c = 5.0951 Å
α = 90.00°, β = 91.33°, γ = 90.00°
Last column: nearest neighbours and their distance in Å.
Space group P2/m (No. 10)
Unique sites:
Ac (0.0000, 0.0000, 0.0000) [1 per cell]  6 O 2.41-2.49
Pu (0.5000, 0.2610, 0.5000) [2 per cell]  6 O 2.13-2.28
Mo (0.0000, 0.5000, 0.0000) [1 per cell]  6 O 2.08-2.11
O (0.2020, 0.2871, 0.2008) [4 per cell]  1 Mo 2.08, 1 Pu 2.13
O (0.2894, 0.5000, 0.7097) [2 per cell]  1 Mo 2.11, 2 Pu 2.28
O (0.3293, 0.0000, 0.6686) [2 per cell]  2 Pu 2.22, 1 Ac 2.41, 1 O 2.47